Entry from the Alexandria database: VZnPt after structural relaxation (PBE).

Output
The density of states at the Fermi level is 5.232 states/eV/cell. The value obtained for the energy is -5.6563 eV per atom. The calculation puts the formation energy at -178.5 meV per atom. The value obtained for the total magnetization is 0.000 μB/f.u.

abc: 4.3104 4.3104 6.7949
angles: 111.56 111.56 56.51
Fractional positions:
V (0.1712, 0.1712, 0.1278)
V (0.8288, 0.8288, 0.8722)
Zn (0.3804, 0.3804, 0.5941)
Zn (0.6196, 0.6196, 0.4059)
Pt (0.1166, 0.1166, 0.7384)
Pt (0.8834, 0.8834, 0.2616)

=====

Entry from the Alexandria database: Mg2Pd6Au after structural relaxation (PBE).

Output
The density of states at the Fermi level is 7.967 states/eV/cell. The value obtained for the energy is -4.6384 eV per atom. The calculation puts the formation energy at -458.0 meV per atom. The value obtained for the total magnetization is 0.000 μB/f.u.

abc: 8.3603 8.3603 4.0964
angles: 90.00 90.00 90.00
Fractional positions:
Mg (0.1735, 0.1735, 0.0000)
Mg (0.3265, 0.6735, 0.5000)
Mg (0.6735, 0.3265, 0.5000)
Mg (0.8265, 0.8265, 0.0000)
Pd (0.0029, 0.3352, 0.5000)
Pd (0.1624, 0.8376, 0.0000)
Pd (0.1648, 0.5029, 0.0000)
Pd (0.3352, 0.0029, 0.5000)
Pd (0.3376, 0.3376, 0.5000)
Pd (0.4971, 0.8352, 0.0000)
Pd (0.5029, 0.1648, 0.0000)
Pd (0.6624, 0.6624, 0.5000)
Pd (0.6648, 0.9971, 0.5000)
Pd (0.8352, 0.4971, 0.0000)
Pd (0.8376, 0.1624, 0.0000)
Pd (0.9971, 0.6648, 0.5000)
Au (0.0000, 0.0000, 0.5000)
Au (0.5000, 0.5000, 0.0000)

=====

Entry from the Alexandria database: KZrCr2 after structural relaxation (PBE).

Output
The density of states at the Fermi level is 6.964 states/eV/cell. The value obtained for the energy is -5.6440 eV per atom. The calculation puts the formation energy at 1579.1 meV per atom. The value obtained for the total magnetization is 6.155 μB/f.u.

abc: 9.9219 9.9219 9.9219
angles: 149.59 149.59 43.55
Fractional positions:
K (0.3750, 0.6250, 0.7500)
K (0.6250, 0.3750, 0.2500)
Zr (0.1250, 0.8750, 0.2500)
Zr (0.8750, 0.1250, 0.7500)
Cr (0.0000, 0.0000, 0.0000)
Cr (0.0000, 0.0000, 0.5000)
Cr (0.0000, 0.5000, 0.0000)
Cr (0.5000, 0.0000, 0.5000)

=====

Entry from the Alexandria database: LaNbSbTe2 after structural relaxation (PBE).

Output
The density of states at the Fermi level is 3.281 states/eV/cell. The value obtained for the energy is -5.4043 eV per atom. Its uncorrected formation energy is -0.324 eV per atom. The value obtained for the total magnetization is 0.000 μB/f.u.

abc: 5.4292 5.4292 5.3958
angles: 90.00 90.00 90.00
Fractional positions:
La (0.0000, 0.0000, 0.0000)
Nb (0.5000, 0.5000, 0.5000)
Sb (0.5000, 0.5000, 0.0000)
Te (0.0000, 0.5000, 0.5000)
Te (0.5000, 0.0000, 0.5000)

=====

Entry from the Alexandria database: Rb2CrAgRu after structural relaxation (PBE).

Output
The density of states at the Fermi level is 3.690 states/eV/cell. The value obtained for the energy is -3.6364 eV per atom. The calculation puts the formation energy at 1100.7 meV per atom. The value obtained for the total magnetization is 2.901 μB/f.u.

abc: 6.7780 6.7780 4.4519
angles: 90.00 90.00 90.00
Fractional positions:
Rb (0.0000, 0.5000, 0.0000)
Rb (0.5000, 0.0000, 0.0000)
Cr (0.0000, 0.0000, 0.0000)
Ag (0.5000, 0.5000, 0.5000)
Ru (0.0000, 0.0000, 0.5000)

=====

Entry from the Alexandria database: Zr2HgPt after structural relaxation (PBE).

Output
The density of states at the Fermi level is 2.862 states/eV/cell. The value obtained for the energy is -6.1074 eV per atom. The calculation puts the formation energy at -247.7 meV per atom. The value obtained for the total magnetization is 2.014 μB/f.u.

abc: 4.8223 4.8223 4.8223
angles: 60.00 60.00 60.00
Fractional positions:
Zr (0.0000, 0.0000, 0.0000)
Zr (0.2500, 0.2500, 0.2500)
Hg (0.7500, 0.7500, 0.7500)
Pt (0.5000, 0.5000, 0.5000)

=====

Entry from the Alexandria database: ThTlIn2Se4 after structural relaxation (PBE).

Output
The density of states at the Fermi level is 3.105 states/eV/cell. The value obtained for the energy is -4.5053 eV per atom. Its uncorrected formation energy is -0.855 eV per atom. The value obtained for the total magnetization is 0.000 μB/f.u.

abc: 7.5399 4.2262 8.0595
angles: 90.00 107.74 90.00
Fractional positions:
Th (0.0000, 0.0000, 0.0000)
Tl (0.0000, 0.5000, 0.5000)
In (0.5000, 0.0000, 0.5000)
In (0.5000, 0.5000, 0.0000)
Se (0.2318, 0.5000, 0.2124)
Se (0.2569, 0.0000, 0.7920)
Se (0.7431, 0.0000, 0.2080)
Se (0.7682, 0.5000, 0.7876)

=====

Entry from the Alexandria database: RbPuFeSe3 after structural relaxation (PBE).

Output
The density of states at the Fermi level is 23.379 states/eV/cell. The value obtained for the energy is -6.7327 eV per atom. Its uncorrected formation energy is -1.030 eV per atom. The value obtained for the total magnetization is 8.246 μB/f.u.

abc: 9.5563 4.1070 9.8236
angles: 90.00 109.36 90.00
Fractional positions:
Rb (0.2041, 0.2500, 0.2349)
Rb (0.7959, 0.7500, 0.7651)
Pu (0.3299, 0.7500, 0.8469)
Pu (0.6701, 0.2500, 0.1531)
Fe (0.0668, 0.2500, 0.5856)
Fe (0.9332, 0.7500, 0.4144)
Se (0.1176, 0.2500, 0.8464)
Se (0.1987, 0.7500, 0.5327)
Se (0.4618, 0.7500, 0.1544)
Se (0.5382, 0.2500, 0.8456)
Se (0.8013, 0.2500, 0.4673)
Se (0.8824, 0.7500, 0.1536)

=====

Entry from the Alexandria database: SnMo3Cl after structural relaxation (PBE).

Output
The density of states at the Fermi level is 4.538 states/eV/cell. The value obtained for the energy is -6.7446 eV per atom. Its uncorrected formation energy is 0.924 eV per atom. The value obtained for the total magnetization is 0.000 μB/f.u.

abc: 4.4579 4.4579 4.4579
angles: 90.00 90.00 90.00
Fractional positions:
Sn (0.0000, 0.0000, 0.0000)
Mo (0.0000, 0.5000, 0.5000)
Mo (0.5000, 0.0000, 0.5000)
Mo (0.5000, 0.5000, 0.0000)
Cl (0.5000, 0.5000, 0.5000)

=====

Entry from the Alexandria database: ZrZn16 after structural relaxation (PBE).

Output
The density of states at the Fermi level is 8.048 states/eV/cell. The value obtained for the energy is -1.7806 eV per atom. The calculation puts the formation energy at -78.7 meV per atom. The value obtained for the total magnetization is 0.000 μB/f.u.

abc: 6.9489 6.9489 11.8279
angles: 90.00 90.00 111.58
Fractional positions:
Zr (0.0471, 0.9529, 0.7500)
Zr (0.9529, 0.0471, 0.2500)
Zn (0.0000, 0.0000, 0.0000)
Zn (0.0000, 0.0000, 0.5000)
Zn (0.0176, 0.6444, 0.5693)
Zn (0.0176, 0.6444, 0.9307)
Zn (0.1787, 0.8213, 0.1397)
Zn (0.1787, 0.8213, 0.3603)
Zn (0.1933, 0.4818, 0.2500)
Zn (0.2439, 0.3507, 0.6342)
Zn (0.2439, 0.3507, 0.8658)
Zn (0.2941, 0.7059, 0.7500)
Zn (0.3507, 0.2439, 0.1342)
Zn (0.3507, 0.2439, 0.3658)
Zn (0.3556, 0.9824, 0.5693)
Zn (0.3556, 0.9824, 0.9307)
Zn (0.3803, 0.6197, 0.0299)
Zn (0.3803, 0.6197, 0.4701)
Zn (0.4818, 0.1933, 0.7500)
Zn (0.5182, 0.8067, 0.2500)
Zn (0.6197, 0.3803, 0.5299)
Zn (0.6197, 0.3803, 0.9701)
Zn (0.6444, 0.0176, 0.0693)
Zn (0.6444, 0.0176, 0.4307)
Zn (0.6493, 0.7561, 0.6342)
Zn (0.6493, 0.7561, 0.8658)
Zn (0.7059, 0.2941, 0.2500)
Zn (0.7561, 0.6493, 0.1342)
Zn (0.7561, 0.6493, 0.3658)
Zn (0.8067, 0.5182, 0.7500)
Zn (0.8213, 0.1787, 0.6397)
Zn (0.8213, 0.1787, 0.8603)
Zn (0.9824, 0.3556, 0.0693)
Zn (0.9824, 0.3556, 0.4307)

=====

Entry from the Alexandria database: Ac2CdSn3Hg6 after structural relaxation (PBE).

Output
The density of states at the Fermi level is 6.187 states/eV/cell. The value obtained for the energy is -1.9565 eV per atom. The calculation puts the formation energy at -43.9 meV per atom. The value obtained for the total magnetization is 0.000 μB/f.u.

abc: 4.5132 4.5132 19.6729
angles: 90.00 90.00 90.00
Fractional positions:
Ac (0.0000, 0.0000, 0.2338)
Ac (0.0000, 0.0000, 0.7662)
Cd (0.0000, 0.0000, 0.5000)
Sn (0.5000, 0.5000, 0.0000)
Sn (0.5000, 0.5000, 0.2930)
Sn (0.5000, 0.5000, 0.7070)
Hg (0.0000, 0.5000, 0.4000)
Hg (0.0000, 0.5000, 0.6000)
Hg (0.5000, 0.0000, 0.4000)
Hg (0.5000, 0.0000, 0.6000)
Hg (0.5000, 0.5000, 0.1415)
Hg (0.5000, 0.5000, 0.8585)

=====

Entry from the Alexandria database: HoThC2 after structural relaxation (PBE).

Output
The density of states at the Fermi level is 4.222 states/eV/cell. The value obtained for the energy is -7.5701 eV per atom. The calculation puts the formation energy at 41.2 meV per atom. The value obtained for the total magnetization is 0.000 μB/f.u.

abc: 6.4445 6.4445 6.4445
angles: 32.91 32.91 32.91
Fractional positions:
Ho (0.0000, 0.0000, 0.0000)
Th (0.1707, 0.1707, 0.1707)
C (0.5874, 0.5874, 0.5874)
C (0.7567, 0.7567, 0.7567)

=====

Which value of energy does entry 5 give?
-3.6364 eV per atom

=====

Which formula does entry 8 have?
RbPuFeSe3

=====

Among the records above, which one has the lowest energy?
HoThC2